No. 1
Density functional theory data (SCAN) for a PBEsol-optimized structure of AlAgRu2.

Results
* space group: I4/mmm, No. 139
* ΔE_f: 0.1702 eV per atom
* volume: 56.91 Å³/f.u.

a b c (Å): 3.894 3.894 7.508
angles (deg): 90.00 90.00 90.00
Element x y z (fractional)
Al 0.000 0.000 0.000
Al 0.500 0.500 0.500
Ag 0.000 0.000 0.500
Ag 0.500 0.500 0.000
Ru 0.000 0.500 0.250
Ru 0.000 0.500 0.750
Ru 0.500 0.000 0.250
Ru 0.500 0.000 0.750



No. 2
Density functional theory data (SCAN) for a PBEsol-optimized structure of AlAg2Ru.

Results
* space group: P4/mmm, No. 123
* ΔE_f: 0.2695 eV per atom
* volume: 60.96 Å³/f.u.

a b c (Å): 2.774 2.774 7.920
angles (deg): 90.00 90.00 90.00
Element x y z (fractional)
Al 0.000 0.000 0.000
Ag 0.500 0.500 0.242
Ag 0.500 0.500 0.758
Ru 0.000 0.000 0.500



No. 3
Density functional theory data (SCAN) for a PBEsol-optimized structure of AlAgRu2.

Results
* space group: R-3m, No. 166
* ΔE_f: 0.0089 eV per atom
* volume: 56.88 Å³/f.u.

a b c (Å): 2.747 2.747 26.120
angles (deg): 90.00 90.00 120.00
Element x y z (fractional)
Al 0.000 0.000 0.000
Al 0.333 0.667 0.667
Al 0.667 0.333 0.333
Ag 0.000 0.000 0.500
Ag 0.333 0.667 0.167
Ag 0.667 0.333 0.833
Ru 0.000 0.000 0.256
Ru 0.000 0.000 0.744
Ru 0.333 0.667 0.410
Ru 0.333 0.667 0.923
Ru 0.667 0.333 0.077
Ru 0.667 0.333 0.590



No. 4
Density functional theory data (SCAN) for a PBEsol-optimized structure of AlAg2Ru.

Results
* space group: Cm, No. 8
* ΔE_f: 0.0635 eV per atom
* volume: 60.56 Å³/f.u.

a b c (Å): 9.611 2.843 4.814
angles (deg): 90.00 112.95 90.00
Element x y z (fractional)
Al 0.000 0.000 0.000
Al 0.500 0.500 0.000
Ag 0.002 0.500 0.521
Ag 0.242 0.500 0.382
Ag 0.502 0.000 0.521
Ag 0.742 0.000 0.382
Ru 0.266 0.000 0.906
Ru 0.766 0.500 0.906



No. 5
Density functional theory data (SCAN) for a PBEsol-optimized structure of AlAg2Ru.

Results
* space group: P4mm, No. 99
* ΔE_f: -0.0851 eV per atom
* volume: 60.47 Å³/f.u.

a b c (Å): 3.062 3.062 6.452
angles (deg): 90.00 90.00 90.00
Element x y z (fractional)
Al 0.000 0.000 0.000
Ag 0.000 0.000 0.462
Ag 0.500 0.500 0.736
Ru 0.500 0.500 0.190



No. 6
Density functional theory data (SCAN) for a PBEsol-optimized structure of Al2AgS.

Results
* space group: I-42d, No. 122
* ΔE_f (raw): -12 kJ per mole of atoms
* volume: 86.40 Å³/f.u.

a b c (Å): 6.024 6.024 9.523
angles (deg): 90.00 90.00 90.00
Element x y z (fractional)
Al 0.238 0.250 0.125
Al 0.250 0.738 0.375
Al 0.250 0.762 0.875
Al 0.262 0.250 0.625
Al 0.738 0.750 0.625
Al 0.750 0.238 0.875
Al 0.750 0.262 0.375
Al 0.762 0.750 0.125
Ag 0.000 0.000 0.500
Ag 0.000 0.500 0.750
Ag 0.500 0.000 0.250
Ag 0.500 0.500 0.000
S 0.000 0.000 0.000
S 0.000 0.500 0.250
S 0.500 0.000 0.750
S 0.500 0.500 0.500



No. 7
Density functional theory data (SCAN) for a PBEsol-optimized structure of Al5AgS8.

Results
* space group: F-43m, No. 216
* ΔE_f (raw): -109 kJ per mole of atoms
* volume: 255.10 Å³/f.u.

a b c (Å): 7.119 7.119 7.119
angles (deg): 60.00 60.00 60.00
Element x y z (fractional)
Al 0.000 0.000 0.000
Al 0.381 0.381 0.381
Al 0.381 0.381 0.856
Al 0.381 0.856 0.381
Al 0.856 0.381 0.381
Ag 0.750 0.750 0.750
S 0.134 0.134 0.134
S 0.134 0.134 0.599
S 0.134 0.599 0.134
S 0.158 0.614 0.614
S 0.599 0.134 0.134
S 0.614 0.158 0.614
S 0.614 0.614 0.158
S 0.614 0.614 0.614



No. 8
Density functional theory data (SCAN) for a PBEsol-optimized structure of AlAg2Sb.

Results
* space group: R-3m, No. 166
* ΔE_f (raw): 6 kJ per mole of atoms
* volume: 76.40 Å³/f.u.

a b c (Å): 3.164 3.164 26.442
angles (deg): 90.00 90.00 120.00
Element x y z (fractional)
Al 0.000 0.000 0.000
Al 0.333 0.667 0.667
Al 0.667 0.333 0.333
Ag 0.000 0.000 0.258
Ag 0.000 0.000 0.742
Ag 0.333 0.667 0.408
Ag 0.333 0.667 0.925
Ag 0.667 0.333 0.075
Ag 0.667 0.333 0.592
Sb 0.000 0.000 0.500
Sb 0.333 0.667 0.167
Sb 0.667 0.333 0.833



No. 9
Density functional theory data (SCAN) for a PBEsol-optimized structure of Al2AgSb2.

Results
* space group: I4/mmm, No. 139
* ΔE_f (raw): 25 kJ per mole of atoms
* volume: 112.94 Å³/f.u.

a b c (Å): 3.926 3.926 14.655
angles (deg): 90.00 90.00 90.00
Element x y z (fractional)
Al 0.000 0.500 0.250
Al 0.000 0.500 0.750
Al 0.500 0.000 0.250
Al 0.500 0.000 0.750
Ag 0.000 0.000 0.000
Ag 0.500 0.500 0.500
Sb 0.000 0.000 0.390
Sb 0.000 0.000 0.610
Sb 0.500 0.500 0.110
Sb 0.500 0.500 0.890



No. 10
Density functional theory data (SCAN) for a PBEsol-optimized structure of AlAgSb2.

Results
* space group: I4/mmm, No. 139
* ΔE_f (raw): 24 kJ per mole of atoms
* volume: 86.69 Å³/f.u.

a b c (Å): 4.725 4.725 7.767
angles (deg): 90.00 90.00 90.00
Element x y z (fractional)
Al 0.000 0.000 0.000
Al 0.500 0.500 0.500
Ag 0.000 0.000 0.500
Ag 0.500 0.500 0.000
Sb 0.000 0.500 0.250
Sb 0.000 0.500 0.750
Sb 0.500 0.000 0.250
Sb 0.500 0.000 0.750



No. 11
Density functional theory data (SCAN) for a PBEsol-optimized structure of AlAgSb2.

Results
* space group: P4/mmm, No. 123
* ΔE_f (raw): 7 kJ per mole of atoms
* volume: 90.89 Å³/f.u.

a b c (Å): 4.009 4.009 5.656
angles (deg): 90.00 90.00 90.00
Element x y z (fractional)
Al 0.000 0.000 0.000
Ag 0.500 0.500 0.500
Sb 0.000 0.000 0.500
Sb 0.500 0.500 0.000



No. 12
Density functional theory data (SCAN) for a PBEsol-optimized structure of Al2AgSb2.

Results
* space group: P4/mbm, No. 127
* ΔE_f (raw): 18 kJ per mole of atoms
* volume: 105.99 Å³/f.u.

a b c (Å): 7.090 7.090 4.217
angles (deg): 90.00 90.00 90.00
Element x y z (fractional)
Al 0.130 0.370 0.000
Al 0.370 0.870 0.000
Al 0.630 0.130 0.000
Al 0.870 0.630 0.000
Ag 0.000 0.000 0.000
Ag 0.500 0.500 0.000
Sb 0.189 0.689 0.500
Sb 0.311 0.189 0.500
Sb 0.689 0.811 0.500
Sb 0.811 0.311 0.500



No. 13
Density functional theory data (SCAN) for a PBEsol-optimized structure of AlAgSb2.

Results
* space group: Pmmm, No. 47
* ΔE_f (raw): 25 kJ per mole of atoms
* volume: 88.04 Å³/f.u.

a b c (Å): 3.990 4.329 5.097
angles (deg): 90.00 90.00 90.00
Element x y z (fractional)
Al 0.000 0.000 0.000
Ag 0.000 0.500 0.500
Sb 0.500 0.000 0.500
Sb 0.500 0.500 0.000



No. 14
Density functional theory data (SCAN) for a PBEsol-optimized structure of TaAlAgSb2.

Results
* space group: P4/mmm, No. 123
* ΔE_f (raw): 118 kJ per mole of atoms
* volume: 120.69 Å³/f.u.

a b c (Å): 5.137 5.137 4.573
angles (deg): 90.00 90.00 90.00
Element x y z (fractional)
Ta 0.000 0.000 0.000
Al 0.500 0.500 0.500
Ag 0.500 0.500 0.000
Sb 0.000 0.500 0.500
Sb 0.500 0.000 0.500



No. 15
Density functional theory data (SCAN) for a PBEsol-optimized structure of ScAlAg.

Results
* space group: P3m1, No. 156
* ΔE_f: -0.0799 eV per atom
* volume: 55.50 Å³/f.u.

a b c (Å): 3.046 3.046 6.905
angles (deg): 90.00 90.00 120.00
Element x y z (fractional)
Sc 0.000 0.000 0.000
Al 0.667 0.333 0.343
Ag 0.333 0.667 0.653



No. 16
Density functional theory data (SCAN) for a PBEsol-optimized structure of ScAlAg2.

Results
* space group: P4mm, No. 99
* ΔE_f: -0.2486 eV per atom
* volume: 70.27 Å³/f.u.

a b c (Å): 3.232 3.232 6.729
angles (deg): 90.00 90.00 90.00
Element x y z (fractional)
Sc 0.000 0.000 0.000
Al 0.500 0.500 0.721
Ag 0.000 0.000 0.511
Ag 0.500 0.500 0.262



No. 17
Density functional theory data (SCAN) for a PBEsol-optimized structure of ScAlAg2.

Results
* space group: R3m, No. 160
* ΔE_f: -0.0564 eV per atom
* volume: 71.44 Å³/f.u.

a b c (Å): 2.996 2.996 27.578
angles (deg): 90.00 90.00 120.00
Element x y z (fractional)
Sc 0.000 0.000 0.000
Sc 0.333 0.667 0.667
Sc 0.667 0.333 0.333
Al 0.000 0.000 0.753
Al 0.333 0.667 0.420
Al 0.667 0.333 0.086
Ag 0.000 0.000 0.247
Ag 0.000 0.000 0.496
Ag 0.333 0.667 0.163
Ag 0.333 0.667 0.914
Ag 0.667 0.333 0.580
Ag 0.667 0.333 0.830



No. 18
Density functional theory data (SCAN) for a PBEsol-optimized structure of ScAl2Ag2.

Results
* space group: I4/mmm, No. 139
* ΔE_f: -0.2656 eV per atom
* volume: 91.62 Å³/f.u.

a b c (Å): 3.869 3.869 12.241
angles (deg): 90.00 90.00 90.00
Element x y z (fractional)
Sc 0.000 0.000 0.000
Sc 0.500 0.500 0.500
Al 0.000 0.500 0.250
Al 0.000 0.500 0.750
Al 0.500 0.000 0.250
Al 0.500 0.000 0.750
Ag 0.000 0.000 0.393
Ag 0.000 0.000 0.607
Ag 0.500 0.500 0.107
Ag 0.500 0.500 0.893



No. 19
Density functional theory data (SCAN) for a PBEsol-optimized structure of ScAlAg.

Results
* space group: F-43m, No. 216
* ΔE_f: -0.2502 eV per atom
* volume: 61.94 Å³/f.u.

a b c (Å): 6.281 6.281 6.281
angles (deg): 90.00 90.00 90.00
Element x y z (fractional)
Sc 0.000 0.000 0.000
Sc 0.000 0.500 0.500
Sc 0.500 0.000 0.500
Sc 0.500 0.500 0.000
Al 0.000 0.000 0.500
Al 0.000 0.500 0.000
Al 0.500 0.000 0.000
Al 0.500 0.500 0.500
Ag 0.250 0.250 0.750
Ag 0.250 0.750 0.250
Ag 0.750 0.250 0.250
Ag 0.750 0.750 0.750



No. 20
Density functional theory data (SCAN) for a PBEsol-optimized structure of ScAlAg2.

Results
* space group: P2/m, No. 10
* ΔE_f: -0.2192 eV per atom
* volume: 71.40 Å³/f.u.

a b c (Å): 2.969 4.423 5.503
angles (deg): 90.00 98.92 90.00
Element x y z (fractional)
Sc 0.000 0.000 0.000
Al 0.500 0.000 0.500
Ag 0.363 0.500 0.742
Ag 0.637 0.500 0.258



No. 21
Density functional theory data (SCAN) for a PBEsol-optimized structure of ScAlAg2.

Results
* space group: C2/m, No. 12
* ΔE_f: -0.2125 eV per atom
* volume: 70.75 Å³/f.u.

a b c (Å): 9.349 3.022 5.091
angles (deg): 90.00 100.30 90.00
Element x y z (fractional)
Sc 0.000 0.000 0.000
Sc 0.500 0.500 0.000
Al 0.000 0.500 0.500
Al 0.500 0.000 0.500
Ag 0.244 0.000 0.743
Ag 0.256 0.500 0.257
Ag 0.744 0.500 0.743
Ag 0.756 0.000 0.257



No. 22
Density functional theory data (SCAN) for a PBEsol-optimized structure of ScAl3Ag.

Results
* space group: Pm-3m, No. 221
* ΔE_f: 1.1849 eV per atom
* volume: 132.83 Å³/f.u.

a b c (Å): 5.102 5.102 5.102
angles (deg): 90.00 90.00 90.00
Element x y z (fractional)
Sc 0.000 0.000 0.000
Al 0.000 0.000 0.500
Al 0.000 0.500 0.000
Al 0.500 0.000 0.000
Ag 0.500 0.500 0.500



No. 23
Density functional theory data (SCAN) for a PBEsol-optimized structure of AlAg3Se.

Results
* space group: Pm-3m, No. 221
* ΔE_f (raw): 58 kJ per mole of atoms
* volume: 121.56 Å³/f.u.

a b c (Å): 4.954 4.954 4.954
angles (deg): 90.00 90.00 90.00
Element x y z (fractional)
Al 0.000 0.000 0.000
Ag 0.000 0.500 0.500
Ag 0.500 0.000 0.500
Ag 0.500 0.500 0.000
Se 0.500 0.500 0.500



No. 24
Density functional theory data (SCAN) for a PBEsol-optimized structure of AlAgSe2.

Results
* space group: R-3m, No. 166
* ΔE_f (raw): -59 kJ per mole of atoms
* volume: 90.93 Å³/f.u.

a b c (Å): 3.715 3.715 22.819
angles (deg): 90.00 90.00 120.00
Element x y z (fractional)
Al 0.000 0.000 0.000
Al 0.333 0.667 0.667
Al 0.667 0.333 0.333
Ag 0.000 0.000 0.500
Ag 0.333 0.667 0.167
Ag 0.667 0.333 0.833
Se 0.000 0.000 0.393
Se 0.000 0.000 0.607
Se 0.333 0.667 0.060
Se 0.333 0.667 0.274
Se 0.667 0.333 0.726
Se 0.667 0.333 0.940



No. 25
Density functional theory data (SCAN) for a PBEsol-optimized structure of AlAgSe2.

Results
* space group: I-42d, No. 122
* ΔE_f (raw): -68 kJ per mole of atoms
* volume: 96.14 Å³/f.u.

a b c (Å): 5.905 5.905 11.027
angles (deg): 90.00 90.00 90.00
Element x y z (fractional)
Al 0.000 0.000 0.000
Al 0.000 0.500 0.250
Al 0.500 0.000 0.750
Al 0.500 0.500 0.500
Ag 0.000 0.000 0.500
Ag 0.000 0.500 0.750
Ag 0.500 0.000 0.250
Ag 0.500 0.500 0.000
Se 0.221 0.250 0.125
Se 0.250 0.721 0.375
Se 0.250 0.779 0.875
Se 0.279 0.250 0.625
Se 0.721 0.750 0.625
Se 0.750 0.221 0.875
Se 0.750 0.279 0.375
Se 0.779 0.750 0.125



No. 26
Density functional theory data (SCAN) for a PBEsol-optimized structure of Al2AgSe.

Results
* space group: Cmmm, No. 65
* ΔE_f (raw): 8 kJ per mole of atoms
* volume: 74.28 Å³/f.u.

a b c (Å): 3.585 5.422 7.642
angles (deg): 90.00 90.00 90.00
Element x y z (fractional)
Al 0.000 0.000 0.244
Al 0.000 0.000 0.756
Al 0.500 0.500 0.244
Al 0.500 0.500 0.756
Ag 0.000 0.500 0.500
Ag 0.500 0.000 0.500
Se 0.000 0.500 0.000
Se 0.500 0.000 0.000



No. 27
Density functional theory data (SCAN) for a PBEsol-optimized structure of Al2AgSe.

Results
* space group: Pmm2, No. 25
* ΔE_f (raw): 5 kJ per mole of atoms
* volume: 71.16 Å³/f.u.

a b c (Å): 2.900 3.243 7.567
angles (deg): 90.00 90.00 90.00
Element x y z (fractional)
Al 0.000 0.000 0.000
Al 0.500 0.500 0.257
Ag 0.500 0.500 0.773
Se 0.000 0.000 0.474



No. 28
Density functional theory data (SCAN) for a PBEsol-optimized structure of AlAgSe.

Results
* space group: F-43m, No. 216
* ΔE_f (raw): 4 kJ per mole of atoms
* volume: 61.22 Å³/f.u.

a b c (Å): 6.256 6.256 6.256
angles (deg): 90.00 90.00 90.00
Element x y z (fractional)
Al 0.000 0.000 0.000
Al 0.000 0.500 0.500
Al 0.500 0.000 0.500
Al 0.500 0.500 0.000
Ag 0.250 0.250 0.250
Ag 0.250 0.750 0.750
Ag 0.750 0.250 0.750
Ag 0.750 0.750 0.250
Se 0.250 0.250 0.750
Se 0.250 0.750 0.250
Se 0.750 0.250 0.250
Se 0.750 0.750 0.750